Crystalline SrOs2Pt at its relaxed geometry. Source: Alexandria, functional PBE-GGA.

Energy above the lowest structure with this stoichiometry, eV per atom: 0.415
VASP energy, eV/atom: -6.864

a b c (Å): 2.8096 4.8842 5.2157
angles (deg): 90.00 90.00 90.00
Last column: nearest neighbours and their distance in Å.
Positions (direct):
Os 0.0000 0.0000 0.0000  6 Os 2.81-2.82, 4 Pt 2.96
Os 0.5000 0.5000 0.0000  6 Os 2.81-2.82, 4 Sr 2.96
Sr 0.0000 0.5000 0.5000  2 Sr 2.81, 4 Pt 2.82, 4 Os 2.96
Pt 0.5000 0.0000 0.5000  2 Pt 2.81, 4 Sr 2.82, 4 Os 2.96

=====

Crystalline EuDy3Ir at its relaxed geometry. Source: Alexandria, functional PBE-GGA.

VASP energy, eV/atom: -6.933

a b c (Å): 5.4862 5.4862 5.4862
angles (deg): 90.00 90.00 90.00
Last column: nearest neighbours and their distance in Å.
Positions (direct):
Dy 0.5000 0.0000 0.0000  2 Ir 2.74
Dy 0.0000 0.5000 0.0000  2 Ir 2.74
Dy 0.0000 0.0000 0.5000  2 Ir 2.74
Eu 0.5000 0.5000 0.5000  12 Dy 3.88
Ir 0.0000 0.0000 0.0000  6 Dy 2.74

=====

Crystalline Ni2TeW at its relaxed geometry. Source: Alexandria, functional PBE-GGA.

VASP energy, eV/atom: -6.447

a b c (Å): 4.5407 4.5407 4.7610
angles (deg): 81.54 81.54 40.47
Last column: nearest neighbours and their distance in Å.
Positions (direct):
W 0.2500 0.2500 0.2500  6 Ni 2.57-2.62, 4 Te 2.85
Ni 0.9879 0.9879 0.0478  2 Ni 2.52, 3 W 2.57-2.62, 1 Te 2.65
Ni 0.5121 0.5121 0.4522  2 Ni 2.52, 3 W 2.57-2.62, 1 Te 2.65
Te 0.7500 0.7500 0.7500  6 Ni 2.65-2.91, 4 W 2.85

=====

Crystalline MgNbP2Cl at its relaxed geometry. Source: Alexandria, functional PBE-GGA.

Energy above the lowest structure with this stoichiometry, eV per atom: 0.840
VASP energy, eV/atom: -4.120

a b c (Å): 4.7795 4.7795 4.4878
angles (deg): 90.00 90.00 90.00
Last column: nearest neighbours and their distance in Å.
Positions (direct):
Cl 0.0000 0.0000 0.5000  2 Mg 2.24
Nb 0.5000 0.5000 0.5000  8 P 3.28, 4 Cl 3.38
P 0.5000 0.0000 0.0000  2 Mg 2.39
P 0.0000 0.5000 0.0000  2 Mg 2.39
Mg 0.0000 0.0000 0.0000  2 Cl 2.24, 4 P 2.39

=====

Crystalline GaSnNF2 at its relaxed geometry. Source: Alexandria, functional PBE-GGA.

Energy above the lowest structure with this stoichiometry, eV per atom: 0.000
VASP energy, eV/atom: -4.825

a b c (Å): 4.1778 4.1778 3.7973
angles (deg): 90.00 90.00 90.00
Last column: nearest neighbours and their distance in Å.
Positions (direct):
Sn 0.5000 0.5000 0.5000  8 F 2.82, 4 N 2.95
N 0.0000 0.0000 0.5000  2 Ga 1.90
F 0.0000 0.5000 0.0000  2 Ga 2.09
F 0.5000 0.0000 0.0000  2 Ga 2.09
Ga 0.0000 0.0000 0.0000  2 N 1.90, 4 F 2.09

=====

Crystalline LaPuTlGe at its relaxed geometry. Source: Alexandria, functional PBE-GGA.

VASP energy, eV/atom: -6.853

a b c (Å): 5.3732 5.3732 5.3732
angles (deg): 60.00 60.00 60.00
Last column: nearest neighbours and their distance in Å.
Positions (direct):
Tl 0.7500 0.7500 0.7500  4 La 3.29, 4 Pu 3.29
Pu 0.0000 0.0000 0.0000  4 Ge 3.29, 4 Tl 3.29
La 0.5000 0.5000 0.5000  4 Ge 3.29, 4 Tl 3.29
Ge 0.2500 0.2500 0.2500  4 La 3.29, 4 Pu 3.29